Model one:
5
Lattice="-4.907 -0.605 -1.411 1.531 -1.547 -4.659 0.124 -4.866 1.656" Properties=species:S:1:pos:R:3 comment="MnNiPb3 GGA-PBE optimized geometry" dos_at_fermi_per_ev_atom=0.6685 pbc="T T T"
Mn -1.626 -3.509 -2.207
Ni 0.000 0.000 0.000
Pb -2.454 -0.303 -0.706
Pb 0.062 -2.433 0.828
Pb 0.765 -0.773 -2.329

Model two:
5
Lattice="-4.978 1.088 0.211 -0.694 -2.307 -4.496 -0.863 -4.417 2.399" Properties=species:S:1:pos:R:3 comment="MnNiPb3 GGA-PBE optimized geometry" dos_at_fermi_per_ev_atom=0.7686 pbc="T T T"
Pb -0.347 -1.153 -2.248
Pb -2.489 0.544 0.105
Pb -0.432 -2.208 1.200
Mn 0.000 0.000 0.000
Ni -3.268 -2.818 -0.943

The structure with the most favorable energy is model one; the runner-up is 26.9 kJ/mol of atoms above it.

Model one:
7
Lattice="4.567 0.150 0.000 -1.344 4.367 0.000 0.000 0.000 5.552" Properties=species:S:1:pos:R:3 comment="MnNiPd5 GGA-PBE optimized geometry" dos_at_fermi_per_ev_atom=1.0725 pbc="T T T"
Mn 1.611 2.259 2.776
Pd 3.895 2.334 1.321
Pd 2.283 0.075 4.230
Pd 0.000 0.000 2.776
Pd 0.939 4.442 1.321
Pd -0.672 2.184 4.230
Ni 0.000 0.000 0.000

Model two:
14
Lattice="-1.824 4.085 -5.321 -3.495 -6.002 0.284 -3.336 2.067 2.725" Properties=species:S:1:pos:R:3 comment="MnNiPd5 GGA-PBE optimized geometry" dos_at_fermi_per_ev_atom=1.7494 pbc="T T T"
Pd -1.535 1.906 -1.231
Pd -5.658 -2.405 1.190
Pd -2.997 2.554 -3.502
Pd -4.643 -1.653 -2.316
Pd -2.625 -0.930 -0.414
Pd -4.873 0.706 -4.386
Pd -3.782 -0.556 2.074
Pd -6.030 1.080 -1.898
Pd -4.012 1.802 0.004
Pd -7.120 -1.757 -1.081
Ni -5.306 -0.282 0.011
Ni -3.349 0.432 -2.323
Mn -1.668 1.033 1.362
Mn 0.000 0.000 0.000

The structure with the most favorable energy is model one; the runner-up is 3.1 kJ/mol of atoms above it.

Model one:
10
Lattice="-3.924 0.954 5.506 -3.221 -5.884 -1.276 1.713 -1.250 1.437" Properties=species:S:1:pos:R:3 comment="Mn2Ni2Pd GGA-PBE optimized geometry" dos_at_fermi_per_ev_atom=2.4259 pbc="T T T"
Ni -5.448 -2.824 4.039
Ni -1.696 -2.106 0.191
Ni -4.309 -4.804 0.960
Ni -2.836 -0.126 3.270
Mn -4.448 -4.849 3.368
Mn -0.984 -1.330 2.299
Mn -3.442 -1.760 4.855
Mn -1.990 -4.419 0.812
Pd -3.572 -2.465 2.115
Pd 0.000 0.000 0.000

Model two:
10
Lattice="6.827 0.000 0.000 0.000 6.827 0.000 0.000 0.000 2.600" Properties=species:S:1:pos:R:3 comment="Mn2Ni2Pd GGA-PBE optimized geometry" dos_at_fermi_per_ev_atom=0.9309 pbc="T T T"
Mn 0.718 2.695 0.000
Mn 2.695 6.109 0.000
Mn 6.109 4.131 0.000
Mn 4.131 0.718 0.000
Ni 5.565 2.152 1.300
Ni 2.152 1.261 1.300
Ni 1.261 4.675 1.300
Ni 4.675 5.565 1.300
Pd 3.413 3.413 0.000
Pd 0.000 0.000 0.000

The structure with the most favorable energy is model two; the runner-up is 3.9 kJ/mol of atoms above it.

Model one:
10
Lattice="-1.137 1.322 3.498 1.910 -2.936 1.730 7.168 5.989 2.250" Properties=species:S:1:pos:R:3 comment="MnNiPd3 GGA-PBE optimized geometry" dos_at_fermi_per_ev_atom=1.0878 pbc="T T T"
Pd 3.411 3.021 3.566
Pd 4.930 0.889 2.682
Pd 1.923 -1.182 2.487
Pd 6.821 4.296 6.376
Pd 0.384 0.936 3.370
Pd 6.418 5.092 3.761
Mn 5.897 2.607 4.531
Mn 2.444 1.302 1.718
Ni 2.847 0.507 4.333
Ni 4.357 4.725 5.413

Model two:
5
Lattice="4.547 0.000 0.000 0.000 4.547 0.000 0.000 0.000 4.547" Properties=species:S:1:pos:R:3 comment="MnNiPd3 GGA-PBE optimized geometry" dos_at_fermi_per_ev_atom=1.6857 pbc="T T T"
Pd 0.000 0.000 2.274
Pd 2.274 0.000 0.000
Pd 0.000 2.274 0.000
Mn 2.274 2.274 2.274
Ni 0.000 0.000 0.000

Model three:
10
Lattice="-1.074 1.113 2.293 5.119 -7.407 -0.718 2.179 9.229 1.574" Properties=species:S:1:pos:R:3 comment="MnNiPd3 GGA-PBE optimized geometry" dos_at_fermi_per_ev_atom=1.6466 pbc="T T T"
Pd -0.197 2.149 2.204
Pd 6.421 0.786 0.945
Pd 4.257 -0.568 2.238
Pd 1.967 3.503 0.911
Pd 4.607 4.193 1.792
Pd 1.618 -1.258 1.356
Mn 3.966 1.715 1.041
Mn 2.258 1.220 2.107
Ni 2.652 5.924 1.719
Ni 3.573 -2.989 1.430

Model four:
5
Lattice="-4.436 -1.190 0.025 0.021 -0.175 -4.590 1.190 -4.433 0.174" Properties=species:S:1:pos:R:3 comment="MnNiPd3 GGA-PBE optimized geometry" dos_at_fermi_per_ev_atom=1.1365 pbc="T T T"
Mn 0.000 0.000 0.000
Pd -2.218 -0.595 0.012
Pd 0.011 -0.087 -2.295
Pd 0.595 -2.216 0.087
Ni -1.612 -2.899 -2.195

The structure with the most favorable energy is model one; the runner-up is 22.5 kJ/mol of atoms above it.

Model one:
5
Lattice="4.764 0.000 0.000 0.000 4.764 0.000 0.000 0.000 4.764" Properties=species:S:1:pos:R:3 comment="Mn3NiPd GGA-PBE optimized geometry" dos_at_fermi_per_ev_atom=0.8509 pbc="T T T"
Pd 0.000 0.000 0.000
Mn 2.382 0.000 0.000
Mn 0.000 0.000 2.382
Mn 0.000 2.382 0.000
Ni 2.382 2.382 2.382

Model two:
5
Lattice="4.170 0.000 0.000 0.000 4.170 0.000 0.000 0.000 4.170" Properties=species:S:1:pos:R:3 comment="Mn3NiPd GGA-PBE optimized geometry" dos_at_fermi_per_ev_atom=1.2704 pbc="T T T"
Mn 0.000 2.085 0.000
Mn 0.000 0.000 2.085
Mn 2.085 0.000 0.000
Pd 2.085 2.085 2.085
Ni 0.000 0.000 0.000

The structure with the most favorable energy is model one; the runner-up is 22.1 kJ/mol of atoms above it.

Model one:
9
Lattice="-2.308 -1.297 -2.865 -0.286 -4.678 -0.307 -6.838 -2.397 3.939" Properties=species:S:1:pos:R:3 comment="MnNi2Pd6 GGA-PBE optimized geometry" dos_at_fermi_per_ev_atom=1.4415 pbc="T T T"
Ni -3.545 -3.344 -0.941
Ni -5.888 -5.028 1.709
Pd -1.231 -1.870 -0.817
Pd -3.734 -5.761 0.306
Pd -1.446 -4.269 0.442
Pd -5.699 -2.610 0.462
Pd -8.201 -6.502 1.585
Pd -7.987 -4.103 0.326
Mn -3.562 -3.538 1.816

Model two:
18
Lattice="6.819 4.071 -0.027 -6.819 4.071 -0.027 0.000 0.279 4.742" Properties=species:S:1:pos:R:3 comment="MnNi2Pd6 GGA-PBE optimized geometry" dos_at_fermi_per_ev_atom=1.2677 pbc="T T T"
Pd -3.409 2.896 3.486
Pd -3.409 5.664 3.574
Pd -1.138 0.971 4.711
Pd -1.138 7.589 2.349
Pd -1.138 3.379 0.004
Pd 1.138 7.449 -0.023
Pd 1.138 3.518 2.375
Pd 3.409 2.757 1.115
Pd 1.138 0.832 2.340
Pd 1.138 5.041 4.685
Pd 3.409 5.525 1.203
Pd -1.138 4.902 2.314
Ni 1.153 2.314 4.729
Ni -1.153 2.175 2.358
Ni -1.153 6.106 -0.040
Ni 1.153 6.246 2.331
Mn -3.410 4.141 1.159
Mn 3.410 4.280 3.530

The structure with the most favorable energy is model one; the runner-up is 5.1 kJ/mol of atoms above it.